a:
The following is a DFT calculation (PBE) of crystalline PmPr3O6 at its relaxed geometry.

Unit cell a=7.0854 b=7.0854 c=7.0854 alpha=91.65 beta=91.65 gamma=91.65
Fractional coordinates of all 20 atoms:
O 0.0951 0.9331 0.6866
O 0.3988 0.1849 0.5294
O 0.1849 0.5294 0.3988
O 0.3134 0.9049 0.0669
O 0.0669 0.3134 0.9049
O 0.6866 0.0951 0.9331
O 0.5294 0.3988 0.1849
O 0.4706 0.6012 0.8151
O 0.9049 0.0669 0.3134
O 0.8151 0.4706 0.6012
O 0.6012 0.8151 0.4706
O 0.9331 0.6866 0.0951
Pr 0.7484 0.4454 0.9382
Pr 0.4454 0.9382 0.7484
Pr 0.0618 0.2516 0.5546
Pr 0.5546 0.0618 0.2516
Pr 0.2516 0.5546 0.0618
Pr 0.9382 0.7484 0.4454
Pm 0.0000 0.0000 0.0000
Pm 0.5000 0.5000 0.5000

Values from the calculation:
For the total magnetization, the calculation gives 0.000 μB per atom.

b:
The following is a DFT calculation (PBE) of crystalline PmPr3O6 at its relaxed geometry.

Unit cell a=5.9955 b=6.2362 c=8.9366 alpha=90.00 beta=90.09 gamma=90.00
Fractional coordinates of all 20 atoms:
Pr 0.4811 0.0479 0.2486
Pr 0.9811 0.4521 0.7486
Pr 0.5000 0.5000 0.0000
Pr 0.5189 0.9521 0.7514
Pr 0.0000 0.0000 0.5000
Pr 0.0189 0.5479 0.2514
O 0.3115 0.8132 0.0796
O 0.1885 0.3132 0.4204
O 0.6853 0.1922 0.5841
O 0.3485 0.5826 0.7470
O 0.8485 0.9174 0.2470
O 0.1853 0.3078 0.0841
O 0.8115 0.6868 0.5796
O 0.1515 0.0826 0.7530
O 0.3147 0.8078 0.4159
O 0.8147 0.6922 0.9159
O 0.6885 0.1868 0.9204
O 0.6515 0.4174 0.2530
Pm 0.0000 0.0000 0.0000
Pm 0.5000 0.5000 0.5000

Values from the calculation:
For the total magnetization, the calculation gives 0.000 μB per atom.

Which one sits at the bottom of the stability order? b does.

a:
The following is a DFT calculation (PBE) of crystalline Pm3PtO at its relaxed geometry.

Unit cell a=7.1231 b=8.8411 c=8.8411 alpha=87.39 beta=81.27 gamma=81.27
Fractional coordinates of all 20 atoms:
Pt 0.7500 0.7104 0.2896
Pt 0.2500 0.2896 0.7104
Pt 0.7500 0.0847 0.9153
Pt 0.2500 0.9153 0.0847
O 0.7938 0.2259 0.3841
O 0.7062 0.6159 0.7741
O 0.2938 0.3841 0.2259
O 0.2062 0.7741 0.6159
Pm 0.6326 0.1325 0.6118
Pm 0.1326 0.6118 0.1325
Pm 0.8666 0.0166 0.2177
Pm 0.3674 0.8675 0.3882
Pm 0.4096 0.5760 0.7054
Pm 0.5904 0.4240 0.2946
Pm 0.1334 0.9834 0.7823
Pm 0.6334 0.7823 0.9834
Pm 0.0904 0.2946 0.4240
Pm 0.3666 0.2177 0.0166
Pm 0.8674 0.3882 0.8675
Pm 0.9096 0.7054 0.5760

Values from the calculation:
For the total magnetization, the calculation gives 0.000 μB per atom.

b:
The following is a DFT calculation (PBE) of crystalline Pm3PtO at its relaxed geometry.

Unit cell a=4.8200 b=4.8200 c=4.8200 alpha=90.00 beta=90.00 gamma=90.00
Fractional coordinates of all 5 atoms:
Pm 0.5000 0.0000 0.0000
Pm 0.0000 0.5000 0.0000
Pm 0.0000 0.0000 0.5000
O 0.0000 0.0000 0.0000
Pt 0.5000 0.5000 0.5000

Values from the calculation:
For the total magnetization, the calculation gives 0.000 μB per atom.

Which one sits at the bottom of the stability order? b does.